Run 1
Below is an optimized crystal structure of Pu2HgSb, with properties calculated at the PBE level.

Values from the calculation:
density of states at the Fermi level = 4.09 states/eV/atom
total magnetic moment = 3.045 μB/atom

abc: 3.543 3.543 10.339
angles: 80.13 80.13 60.00
Fractional coordinates of all 4 atoms:
1 Sb 0.500 0.500 0.500
2 Pu 0.752 0.752 0.744
3 Pu 0.248 0.248 0.256
4 Hg 0.000 0.000 0.000



Run 2
Below is an optimized crystal structure of Pu2HgSb, with properties calculated at the PBE level.

Values from the calculation:
density of states at the Fermi level = 4.08 states/eV/atom
total magnetic moment = 3.223 μB/atom

abc: 5.336 5.336 5.336
angles: 60.00 60.00 60.00
Fractional coordinates of all 4 atoms:
1 Hg 0.000 0.000 0.000
2 Sb 0.500 0.500 0.500
3 Pu 0.750 0.750 0.750
4 Pu 0.250 0.250 0.250



Run 3
Below is an optimized crystal structure of Pu2HgSb, with properties calculated at the PBE level.

Values from the calculation:
density of states at the Fermi level = 4.13 states/eV/atom
total magnetic moment = 2.977 μB/atom

abc: 4.261 4.979 4.979
angles: 90.00 90.00 90.00
Fractional coordinates of all 4 atoms:
1 Sb 0.500 0.000 0.000
2 Pu 0.000 0.000 0.500
3 Pu 0.000 0.500 0.000
4 Hg 0.500 0.500 0.500



Which of them is least stable? Easy: run 1.